# 1
DFT (meta-GGA SCAN) results for InSiRu2 at its PBEsol-relaxed geometry.

total magnetization = 0.00 μB/cell
crystal system = tetragonal
energy relative to the elements, uncorrected = -370 meV per atom

Geometry as CIF:
```
data_InSiRu2
_cell_length_a 2.961
_cell_length_b 2.961
_cell_length_c 6.477
_cell_angle_alpha 90.00
_cell_angle_beta 90.00
_cell_angle_gamma 90.00
_space_group_name_H-M_alt 'P 4/m m m'
_space_group_IT_number 123
_space_group_name_Hall '-P 4 2'
loop_
_atom_site_label
_atom_site_fract_x
_atom_site_fract_y
_atom_site_fract_z
In1 0.000 0.000 0.000
Si1 0.000 0.000 0.500
Ru1 0.500 0.500 0.288
```

# 2
DFT (meta-GGA SCAN) results for Cd2CoNi at its PBEsol-relaxed geometry.

total magnetization = 1.41 μB/cell
ΔH_f (0 K) = 1.0 eV/f.u.
crystal system = tetragonal

Geometry as CIF:
```
data_Cd2CoNi
_cell_length_a 3.071
_cell_length_b 3.071
_cell_length_c 6.083
_cell_angle_alpha 90.00
_cell_angle_beta 90.00
_cell_angle_gamma 90.00
_space_group_name_H-M_alt 'P 4/m m m'
_space_group_IT_number 123
_space_group_name_Hall '-P 4 2'
loop_
_atom_site_label
_atom_site_fract_x
_atom_site_fract_y
_atom_site_fract_z
Cd1 0.000 0.000 0.250
Co1 0.500 0.500 0.000
Ni1 0.500 0.500 0.500
```

# 3
DFT (meta-GGA SCAN) results for KPPb at its PBEsol-relaxed geometry.

total magnetization = 0.00 μB/cell
ΔH_f (0 K) = -1.1 eV/f.u.
crystal system = trigonal

Geometry as CIF:
```
data_KPPb
_cell_length_a 4.1009
_cell_length_b 4.1009
_cell_length_c 6.2766
_cell_angle_alpha 90.00
_cell_angle_beta 90.00
_cell_angle_gamma 120.00
_space_group_name_H-M_alt 'P 3 m 1'
_space_group_IT_number 156
loop_
_space_group_symop_operation_xyz
'x,y,z'
'-y,x-y,z'
'-x+y,-x,z'
'-y,-x,z'
'-x+y,y,z'
'x,x-y,z'
loop_
_atom_site_label
_atom_site_fract_x
_atom_site_fract_y
_atom_site_fract_z
K1 0.0000 0.0000 0.0000
P1 0.3333 0.6667 0.6745
Pb1 0.6667 0.3333 0.4624
```

# 4
DFT (meta-GGA SCAN) results for CaSb10S6O10 at its PBEsol-relaxed geometry.

total magnetization = 0.00 μB/cell
crystal system = monoclinic
energy relative to the elements, uncorrected = -1145 meV per atom

Geometry as CIF:
```
data_CaSb10S6O10
_cell_length_a 25.660
_cell_length_b 5.570
_cell_length_c 16.837
_cell_angle_alpha 90.00
_cell_angle_beta 118.99
_cell_angle_gamma 90.00
_space_group_name_H-M_alt 'C 1 2/c 1'
_space_group_IT_number 15
loop_
_space_group_symop_operation_xyz
'x,y,z'
'-x,-y,-z'
'-x,y,-z+1/2'
'x,-y,z+1/2'
'x+1/2,y+1/2,z'
'-x+1/2,-y+1/2,-z'
'-x+1/2,y+1/2,-z+1/2'
'x+1/2,-y+1/2,z+1/2'
loop_
_atom_site_label
_atom_site_fract_x
_atom_site_fract_y
_atom_site_fract_z
Ca1 0.000 0.038 0.250
Sb1 0.050 0.496 0.417
Sb2 0.059 0.070 0.092
Sb3 0.100 0.411 0.760
Sb4 0.170 0.103 0.459
Sb5 0.237 0.356 0.153
S1 0.166 0.041 0.309
S2 0.192 0.273 0.670
S3 0.208 0.480 0.976
O1 0.028 0.164 0.483
O2 0.030 0.354 0.177
O3 0.042 0.171 0.663
O4 0.062 0.285 0.830
O5 0.086 0.244 0.373
```